SrEr2Tl2: relaxed, PBE-GGA. Values from VASP.

```
&SYSTEM
  ibrav = 0, nat = 10, ntyp = 3
/
ATOMIC_SPECIES
Sr 87.62 Sr.upf
Er 167.26 Er.upf
Tl 204.38 Tl.upf
CELL_PARAMETERS angstrom
5.243 0.000 0.000
0.006 7.200 0.000
0.013 3.306 8.254
ATOMIC_POSITIONS angstrom
Sr 1.315 2.624 2.067
Sr 3.946 7.882 6.187
Er 1.322 6.305 3.779
Er 1.314 6.145 0.352
Er 3.948 4.361 7.902
Er 3.940 4.201 4.475
Tl 1.318 2.843 5.530
Tl 1.327 5.726 6.857
Tl 3.935 4.779 1.397
Tl 3.944 7.663 2.724
```

Results
Its total magnetic moment is 0.00 μB per formula unit. As for the total energy: -3.32 eV/atom. The value obtained for the formation enthalpy at 0 K is -0.22 eV/atom.